# 1
Here is a geometry-optimized MgZrAs2 structure from Alexandria. Energies are from PBE.

```
MgZrAs2
1.0
3.567 0.000 0.000
0.000 3.578 0.013
0.000 3.550 6.077
As Mg Zr
2 1 1
direct
0.000 0.018 0.982 As
0.000 0.482 0.518 As
0.500 0.250 0.250 Mg
0.500 0.750 0.750 Zr
```

Properties
- E_tot (eV per atom) = -5.489
- size of the total moment (μB per cell) = 0.0

***

# 2
Here is a geometry-optimized MgZr2As structure from Alexandria. Energies are from PBE.

```
MgZr2As
1.0
4.238 0.000 0.000
0.000 4.331 0.000
0.000 0.000 4.331
As Mg Zr
1 1 2
direct
0.500 0.500 0.000 As
0.500 0.000 0.500 Mg
0.000 0.000 0.000 Zr
0.000 0.500 0.500 Zr
```

Properties
- ΔE to the lowest computed polymorph (eV per atom) = 0.176
- E_tot (eV per atom) = -6.162
- size of the total moment (μB per cell) = 0.0

***

The following calculated formation energy values (in meV per atom) correspond, in order, to the records above: -629, -327.
The following Fermi-level density of states values (in states/eV/f.u.) correspond, in order, to the records above: 1.90, 3.97.